The following is a DFT calculation (PBE) of La2DyMnSe5 after structural relaxation.

Unit cell a=4.139 b=17.486 c=12.619 alpha=90.00 beta=90.00 gamma=90.00
Space group Cmc2_1 (No. 36)
Symmetry-distinct sites (fractional):
La (0.000, 0.119, 0.000) x4
La (0.000, 0.121, 0.352) x4
Dy (0.000, 0.185, 0.681) x4
Mn (0.000, 0.445, 0.087) x4
Se (0.000, 0.020, 0.682) x4
Se (0.000, 0.303, 0.340) x4
Se (0.000, 0.308, 0.019) x4
Se (0.000, 0.348, 0.675) x4
Se (0.000, 0.496, 0.412) x4

Computed properties:
E_form (uncorrected) = -1650.9 meV per atom



The following is a DFT calculation (PBE) of CaSi2TcIr after structural relaxation.

Unit cell a=4.226 b=4.226 c=9.734 alpha=90.00 beta=90.00 gamma=90.00
Space group I-4m2 (No. 119)
Symmetry-distinct sites (fractional):
Ca (0.000, 0.000, 0.000) x2
Si (0.000, 0.000, 0.369) x4
Tc (0.000, 0.500, 0.750) x2
Ir (0.000, 0.500, 0.250) x2

Computed properties:
E_form (uncorrected) = -729.1 meV per atom



The following is a DFT calculation (PBE) of Nd5Ga2Ge5 after structural relaxation.

Unit cell a=15.198 b=4.220 c=11.805 alpha=90.00 beta=129.78 gamma=90.00
Space group C2/m (No. 12)
Symmetry-distinct sites (fractional):
Nd (0.000, 0.000, 0.000) x2
Nd (0.131, 0.500, 0.831) x4
Nd (0.182, 0.500, 0.574) x4
Ga (0.118, 0.500, 0.260) x4
Ge (0.000, 0.000, 0.500) x2
Ge (0.061, 0.000, 0.319) x4
Ge (0.209, 0.500, 0.142) x4

Computed properties:
formation energy from the elements = -734 meV per atom



The following is a DFT calculation (PBE) of Ac2CePaP4 after structural relaxation.

Unit cell a=7.282 b=4.205 c=7.367 alpha=90.00 beta=109.20 gamma=90.00
Space group P2/m (No. 10)
Symmetry-distinct sites (fractional):
Ac (0.000, 0.000, 0.000) x1
Ac (0.500, 0.500, 0.000) x1
Ce (0.000, 0.500, 0.500) x1
Pa (0.500, 0.000, 0.500) x1
P (0.249, 0.000, 0.721) x2
P (0.268, 0.500, 0.282) x2

Computed properties:
formation energy from the elements = -1401 meV per atom



The following is a DFT calculation (PBE) of PmBiSO2 after structural relaxation.

Unit cell a=6.518 b=4.055 c=7.729 alpha=90.00 beta=106.19 gamma=90.00
Space group P2_1/m (No. 11)
Symmetry-distinct sites (fractional):
Pm (0.196, 0.250, 0.416) x2
Bi (0.198, 0.250, 0.926) x2
S (0.446, 0.750, 0.264) x2
O (0.004, 0.250, 0.630) x2
O (0.025, 0.750, 0.886) x2

Computed properties:
E_form (uncorrected) = -2004.6 meV per atom



The following is a DFT calculation (PBE) of GdZr3 after structural relaxation.

Unit cell a=4.642 b=4.642 c=9.188 alpha=90.00 beta=90.00 gamma=90.00
Space group I4/mmm (No. 139)
Symmetry-distinct sites (fractional):
Gd (0.000, 0.000, 0.000) x2
Zr (0.000, 0.000, 0.500) x2
Zr (0.000, 0.500, 0.250) x4

Computed properties:
formation energy from the elements = 118 meV per atom
energy relative to the lowest polymorph listed for this composition = 50 meV/atom



The following is a DFT calculation (PBE) of LiZrSc2Se4 after structural relaxation.

Unit cell a=6.616 b=3.834 c=6.788 alpha=90.00 beta=108.69 gamma=90.00
Space group P2/m (No. 10)
Symmetry-distinct sites (fractional):
Li (0.000, 0.000, 0.000) x1
Zr (0.000, 0.500, 0.500) x1
Sc (0.500, 0.000, 0.500) x1
Sc (0.500, 0.500, 0.000) x1
Se (0.249, 0.000, 0.758) x2
Se (0.249, 0.500, 0.247) x2

Computed properties:
E_form (uncorrected) = -1470.1 meV per atom



The following is a DFT calculation (PBE) of NaDy5Se6 after structural relaxation.

Unit cell a=7.066 b=12.245 c=7.103 alpha=90.00 beta=109.46 gamma=90.00
Space group C2/m (No. 12)
Symmetry-distinct sites (fractional):
Na (0.000, 0.000, 0.000) x2
Dy (0.000, 0.163, 0.500) x4
Dy (0.000, 0.334, 0.000) x4
Dy (0.000, 0.500, 0.500) x2
Se (0.249, 0.333, 0.748) x8
Se (0.250, 0.000, 0.754) x4

Computed properties:
E_form (uncorrected) = -1737.2 meV per atom



The following is a DFT calculation (PBE) of CdRePt2 after structural relaxation.

Unit cell a=4.044 b=4.044 c=7.929 alpha=90.00 beta=90.00 gamma=90.00
Space group I-4m2 (No. 119)
Symmetry-distinct sites (fractional):
Cd (0.000, 0.000, 0.000) x2
Re (0.000, 0.500, 0.250) x2
Pt (0.000, 0.000, 0.500) x2
Pt (0.000, 0.500, 0.750) x2

Computed properties:
formation energy from the elements = 245 meV per atom



The following is a DFT calculation (PBE) of CaMgAu after structural relaxation.

Unit cell a=3.545 b=3.545 c=11.415 alpha=90.00 beta=90.00 gamma=90.00
Space group I4mm (No. 107)
Symmetry-distinct sites (fractional):
Ca (0.000, 0.000, 0.000) x2
Mg (0.000, 0.000, 0.284) x2
Au (0.000, 0.000, 0.665) x2

Computed properties:
formation energy from the elements = -519 meV per atom



The following is a DFT calculation (PBE) of LiLaZn2 after structural relaxation.

Unit cell a=3.510 b=4.593 c=5.790 alpha=90.00 beta=100.97 gamma=90.00
Space group Pm (No. 6)
Symmetry-distinct sites (fractional):
Li (0.000, 0.000, 0.000) x1
La (0.236, 0.500, 0.592) x1
Zn (0.607, 0.500, 0.138) x1
Zn (0.658, 0.000, 0.377) x1

Computed properties:
formation energy from the elements = -146 meV per atom



The following is a DFT calculation (PBE) of CuAg2BiTe4 after structural relaxation.

Unit cell a=4.167 b=15.403 c=13.477 alpha=90.00 beta=90.00 gamma=90.00
Space group Cmcm (No. 63)
Symmetry-distinct sites (fractional):
Cu (0.000, 0.153, 0.250) x4
Ag (0.000, 0.375, 0.561) x8
Bi (0.000, 0.118, 0.750) x4
Te (0.000, 0.000, 0.000) x4
Te (0.000, 0.280, 0.117) x8
Te (0.000, 0.449, 0.750) x4

Computed properties:
E_form (uncorrected) = 4.6 meV per atom